[1]
Material: Sr2PrHg
Method: DFT, GGA-PBE
State: optimized geometry

abc: 3.868 3.868 10.142
angles: 90.00 90.00 90.00
Fractional coordinates of all 4 atoms:
Sr (0.000, 0.000, 0.204)
Hg (0.500, 0.500, 0.000)
Pr (0.500, 0.500, 0.500)
Sr (0.000, 0.000, 0.796)

Calculated values
**Energy above the lowest structure with this stoichiometry**: 0.00 eV/f.u.
**Formation energy from the elements**: -16 kJ/mol of atoms
**Symmetry**: No. 123


[2]
Material: CdHgS2
Method: DFT, GGA-PBE
State: optimized geometry

abc: 4.193 4.193 6.622
angles: 90.00 90.00 120.00
Fractional coordinates of all 4 atoms:
Hg (0.000, 0.000, 0.931)
S (0.333, 0.667, 0.817)
Cd (0.333, 0.667, 0.418)
S (0.667, 0.333, 0.289)

Calculated values
**Energy above the lowest structure with this stoichiometry**: 0.43 eV/f.u.
**Symmetry**: No. 156


[3]
Material: La8In2Os
Method: DFT, GGA-PBE
State: optimized geometry

abc: 5.659 7.109 9.692
angles: 109.58 106.97 90.00
Fractional coordinates of all 11 atoms:
La (0.004, 0.781, 0.007)
La (0.406, 0.596, 0.811)
La (0.356, 0.079, 0.711)
La (0.996, 0.219, 0.993)
La (0.208, 0.245, 0.416)
In (0.822, 0.311, 0.644)
In (0.178, 0.689, 0.356)
La (0.594, 0.404, 0.189)
La (0.644, 0.921, 0.289)
La (0.792, 0.755, 0.584)
Os (0.500, 0.000, 0.000)

Calculated values
**Formation energy from the elements**: -24 kJ/mol of atoms
**Symmetry**: No. 12


[4]
Material: YSn2Pd6
Method: DFT, GGA-PBE
State: optimized geometry

abc: 5.559 5.559 7.042
angles: 90.00 90.00 120.00
Fractional coordinates of all 9 atoms:
Pd (0.500, 0.000, 0.808)
Pd (0.500, 0.500, 0.192)
Pd (0.500, 0.500, 0.808)
Sn (0.667, 0.333, 0.500)
Pd (0.500, 0.000, 0.192)
Sn (0.333, 0.667, 0.500)
Y (0.000, 0.000, 0.000)
Pd (0.000, 0.500, 0.192)
Pd (0.000, 0.500, 0.808)

Calculated values
**Formation energy from the elements**: -49 kJ/mol of atoms
**Symmetry**: No. 191


[5]
Material: PmY2Ni9
Method: DFT, GGA-PBE
State: optimized geometry

abc: 5.003 5.003 8.629
angles: 73.15 73.15 60.00
Last column: magnetic moment on the atom in μB.
Fractional coordinates of all 12 atoms:
Ni (0.333, 0.333, 0.001)  0.13
Ni (0.500, 0.500, 0.500)  0.06
Ni (0.583, 0.583, 0.753)  0.10
Ni (0.583, 0.082, 0.753)  0.10
Ni (0.667, 0.667, 0.999)  0.13
Y (0.861, 0.861, 0.418)  -0.02
Pm (0.000, 0.000, 0.000)  -0.02
Ni (0.082, 0.583, 0.753)  0.10
Ni (0.918, 0.417, 0.247)  0.10
Ni (0.417, 0.918, 0.247)  0.10
Ni (0.417, 0.417, 0.247)  0.10
Y (0.139, 0.139, 0.582)  -0.02

Calculated values
**Formation energy from the elements**: -37 kJ/mol of atoms
**Symmetry**: No. 166


[6]
Material: Hf3AsI
Method: DFT, GGA-PBE
State: optimized geometry

abc: 5.039 5.039 5.039
angles: 90.00 90.00 90.00
Fractional coordinates of all 5 atoms:
As (0.000, 0.000, 0.000)
Hf (0.000, 0.500, 0.000)
I (0.500, 0.500, 0.500)
Hf (0.500, 0.000, 0.000)
Hf (0.000, 0.000, 0.500)

Calculated values
**Energy above the lowest structure with this stoichiometry**: 0.00 eV/f.u.
**Symmetry**: No. 221


[7]
Material: KZnCuAs2
Method: DFT, GGA-PBE
State: optimized geometry

abc: 4.341 4.341 6.318
angles: 110.09 110.09 90.00
Fractional coordinates of all 5 atoms:
Zn (0.250, 0.750, 0.500)
As (0.628, 0.628, 0.256)
K (0.000, 0.000, 0.000)
Cu (0.750, 0.250, 0.500)
As (0.372, 0.372, 0.744)

Calculated values
**Formation energy from the elements**: -22 kJ/mol of atoms
**Symmetry**: No. 119


[8]
Material: Rh3Au
Method: DFT, GGA-PBE
State: optimized geometry

abc: 2.787 4.541 4.800
angles: 90.00 90.00 90.00
Fractional coordinates of all 4 atoms:
Rh (0.500, 0.500, 0.834)
Au (0.000, 0.500, 0.332)
Rh (0.500, 0.000, 0.512)
Rh (0.000, 0.000, 0.989)

Calculated values
**Formation energy from the elements**: 20 kJ/mol of atoms
**Symmetry**: No. 25


[9]
Material: CsGePd2
Method: DFT, GGA-PBE
State: optimized geometry

abc: 7.835 7.835 6.764
angles: 54.60 54.60 90.00
Fractional coordinates of all 8 atoms:
Pd (0.249, 0.625, 0.250)
Pd (0.375, 0.499, 0.750)
Cs (0.000, 0.000, 0.000)
Cs (0.750, 0.250, 0.500)
Ge (0.250, 0.750, 0.500)
Pd (0.501, 0.125, 0.250)
Ge (0.500, 0.500, 0.000)
Pd (0.875, 0.751, 0.750)

Calculated values
**Formation energy from the elements**: 0 kJ/mol of atoms
**Symmetry**: No. 122


[10]
Material: LuGeAu2
Method: DFT, GGA-PBE
State: optimized geometry

abc: 4.822 4.822 4.822
angles: 60.00 60.00 60.00
Fractional coordinates of all 4 atoms:
Au (0.250, 0.250, 0.250)
Au (0.750, 0.750, 0.750)
Lu (0.000, 0.000, 0.000)
Ge (0.500, 0.500, 0.500)

Calculated values
**Formation energy from the elements**: -52 kJ/mol of atoms
**Symmetry**: No. 225


[11]
Material: Sr4P
Method: DFT, GGA-PBE
State: optimized geometry

abc: 6.415 6.415 6.415
angles: 109.47 109.47 109.47
Fractional coordinates of all 5 atoms:
Sr (0.000, 0.500, 0.000)
Sr (0.500, 0.000, 0.000)
P (0.000, 0.000, 0.000)
Sr (0.500, 0.500, 0.500)
Sr (0.000, 0.000, 0.500)

Calculated values
**Energy above the lowest structure with this stoichiometry**: 0.85 eV/f.u.
**Formation energy from the elements**: -29 kJ/mol of atoms
**Symmetry**: No. 229


[12]
Material: ScTl4P
Method: DFT, GGA-PBE
State: optimized geometry

abc: 6.159 6.159 6.159
angles: 60.00 60.00 60.00
Fractional coordinates of all 6 atoms:
P (0.750, 0.750, 0.750)
Tl (0.375, 0.874, 0.375)
Tl (0.375, 0.375, 0.375)
Sc (0.000, 0.000, 0.000)
Tl (0.375, 0.375, 0.874)
Tl (0.874, 0.375, 0.375)

Calculated values
**Formation energy from the elements**: 45 kJ/mol of atoms
**Symmetry**: No. 216


[13]
Material: KAu2Cl
Method: DFT, GGA-PBE
State: optimized geometry

abc: 2.988 2.994 10.071
angles: 90.00 90.00 89.43
Fractional coordinates of all 4 atoms:
Cl (0.500, 0.500, 0.250)
K (0.500, 0.500, 0.750)
Au (0.000, 0.000, 0.008)
Au (0.000, 0.000, 0.492)

Calculated values
**Energy above the lowest structure with this stoichiometry**: 3.00 eV/f.u.
**Symmetry**: No. 65


[14]
Material: Nd2Sm6Dy
Method: DFT, GGA-PBE
State: optimized geometry

abc: 6.077 7.716 7.716
angles: 59.99 89.97 89.97
Fractional coordinates of all 9 atoms:
Sm (0.713, 0.188, 0.188)
Dy (0.000, 0.000, 0.000)
Sm (0.713, 0.188, 0.623)
Sm (0.713, 0.623, 0.188)
Nd (0.216, 0.334, 0.334)
Sm (0.287, 0.377, 0.812)
Sm (0.287, 0.812, 0.812)
Nd (0.784, 0.666, 0.666)
Sm (0.287, 0.812, 0.377)

Calculated values
**Energy above the lowest structure with this stoichiometry**: 1.58 eV/f.u.
**Formation energy from the elements**: 22 kJ/mol of atoms
**Symmetry**: No. 164


[15]
Material: CaYGaO4
Method: DFT, GGA-PBE
State: optimized geometry

abc: 6.344 6.487 6.487
angles: 61.46 60.72 60.72
Fractional coordinates of all 14 atoms:
Y (0.000, 0.500, 0.500)
Y (0.000, 0.000, 0.000)
O (0.249, 0.263, 0.240)
O (0.751, 0.260, 0.237)
Ca (0.000, 0.000, 0.500)
Ga (0.633, 0.617, 0.117)
O (0.744, 0.256, 0.756)
Ca (0.500, 0.000, 0.500)
O (0.751, 0.737, 0.760)
O (0.755, 0.744, 0.244)
O (0.245, 0.256, 0.756)
O (0.256, 0.744, 0.244)
Ga (0.367, 0.383, 0.883)
O (0.249, 0.740, 0.763)

Calculated values
**Energy**: -49.98 eV/f.u.
**Symmetry**: No. 74


[16]
Material: Ti5GaCo6
Method: DFT, GGA-PBE
State: optimized geometry

abc: 4.186 7.262 7.262
angles: 120.06 106.75 106.75
Last column: magnetic moment on the atom in μB.
Fractional coordinates of all 12 atoms:
Ti (0.000, 0.331, 0.669)  -0.08
Ga (0.000, 0.000, 0.000)  0.00
Ti (0.500, 0.839, 0.161)  -0.04
Co (0.760, 0.260, 0.260)  0.77
Co (0.746, 0.576, 0.915)  0.83
Ti (0.500, 0.161, 0.839)  -0.04
Ti (0.500, 0.500, 0.500)  -0.06
Co (0.254, 0.424, 0.085)  0.83
Ti (0.000, 0.669, 0.331)  -0.08
Co (0.746, 0.915, 0.576)  0.83
Co (0.254, 0.085, 0.424)  0.83
Co (0.240, 0.740, 0.740)  0.77

Calculated values
**Formation energy from the elements**: -41 kJ/mol of atoms
**Symmetry**: No. 71


[17]
Material: AlHgBr2
Method: DFT, GGA-PBE
State: optimized geometry

abc: 10.539 10.539 10.539
angles: 21.44 21.44 21.44
Last column: magnetic moment on the atom in μB.
Fractional coordinates of all 4 atoms:
Br (0.467, 0.467, 0.467)  0.12
Al (0.750, 0.750, 0.750)  0.20
Br (0.033, 0.033, 0.033)  0.12
Hg (0.250, 0.250, 0.250)  0.00

Calculated values
**Energy above the lowest structure with this stoichiometry**: 0.53 eV/f.u.
**Symmetry**: No. 166


[18]
Material: Ba2CaTa
Method: DFT, GGA-PBE
State: optimized geometry

abc: 5.422 5.430 5.345
angles: 90.00 90.00 90.00
Last column: magnetic moment on the atom in μB.
Fractional coordinates of all 4 atoms:
Ba (0.500, 0.500, 0.000)  0.03
Ta (0.000, 0.500, 0.500)  1.67
Ca (0.500, 0.000, 0.500)  0.01
Ba (0.000, 0.000, 0.000)  0.03

Calculated values
**Energy above the lowest structure with this stoichiometry**: 0.65 eV/f.u.
**Formation energy from the elements**: 93 kJ/mol of atoms
**Symmetry**: No. 123


[19]
Material: SbTe2Os
Method: DFT, GGA-PBE
State: optimized geometry

abc: 3.643 3.840 7.936
angles: 76.07 90.00 90.00
Fractional coordinates of all 4 atoms:
Sb (0.500, 0.723, 0.680)
Te (0.000, 0.099, 0.928)
Os (0.000, 0.277, 0.571)
Te (0.500, 0.401, 0.321)

Calculated values
**Energy**: -20.36 eV/f.u.
**Symmetry**: No. 6


[20]
Material: AcI5
Method: DFT, GGA-PBE
State: optimized geometry

abc: 5.373 6.502 12.031
angles: 90.00 102.57 90.00
Fractional coordinates of all 6 atoms:
I (0.340, 0.000, 0.151)
I (0.801, 0.000, 0.071)
Ac (0.048, 0.500, 0.611)
I (0.048, 0.000, 0.611)
I (0.463, 0.500, 0.438)
I (0.632, 0.500, 0.784)

Calculated values
**Energy above the lowest structure with this stoichiometry**: 0.00 eV/f.u.
**Symmetry**: No. 6